Entry 1:
Entry from the Alexandria database: a relaxed HoErMnRh crystal (GGA-PBE).

a b c (Å): 4.8778 4.8778 4.8778
angles (deg): 60.00 60.00 60.00
Last column: nearest neighbours and their distance in Å.
Fractional coordinates of all 4 atoms:
Ho1 0.0000 0.0000 0.0000  4 Mn 2.99, 4 Rh 2.99
Er1 0.5000 0.5000 0.5000  4 Rh 2.99, 4 Mn 2.99
Mn1 0.2500 0.2500 0.2500  4 Er 2.99, 4 Ho 2.99
Rh1 0.7500 0.7500 0.7500  4 Er 2.99, 4 Ho 2.99

Total energy   -6.72 eV/atom
Calculated density   9.92 g/cm³



Entry 2:
Entry from the Alexandria database: a relaxed Ge2PdPtC crystal (GGA-PBE).

a b c (Å): 4.2742 4.2742 4.1185
angles (deg): 90.00 90.00 90.00
Last column: nearest neighbours and their distance in Å.
Fractional coordinates of all 5 atoms:
Ge1 0.0000 0.5000 0.0000  2 C 2.14
Ge2 0.5000 0.0000 0.0000  2 C 2.14
Pd1 0.0000 0.0000 0.5000  2 C 2.06
Pt1 0.5000 0.5000 0.5000  8 Ge 2.97, 4 Pd 3.02
C1 0.0000 0.0000 0.0000  2 Pd 2.06, 4 Ge 2.14

Total energy   -5.36 eV/atom
Calculated density   10.13 g/cm³



Entry 3:
Entry from the Alexandria database: a relaxed MnFePb2 crystal (GGA-PBE).

a b c (Å): 3.2633 3.2633 8.0960
angles (deg): 90.00 90.00 90.00
Last column: nearest neighbours and their distance in Å.
Fractional coordinates of all 4 atoms:
Mn1 0.0000 0.0000 0.0000  4 Fe 2.57
Fe1 0.5000 0.5000 0.8613  4 Mn 2.57
Pb1 0.0000 0.0000 0.6375  4 Fe 2.93, 1 Mn 2.93, 4 Pb 3.26
Pb2 0.5000 0.5000 0.2322  4 Mn 2.98, 1 Fe 3.00, 4 Pb 3.26

Total energy   -5.91 eV/atom
Calculated density   10.12 g/cm³



Entry 4:
Entry from the Alexandria database: a relaxed In4HgBiSe8 crystal (GGA-PBE).

a b c (Å): 8.3663 8.3663 8.3663
angles (deg): 59.62 59.62 59.62
Last column: nearest neighbours and their distance in Å.
Fractional coordinates of all 14 atoms:
In1 0.0000 0.0000 0.0000  4 Se 2.72-2.78
In2 0.3755 0.3755 0.8697  6 Se 2.79-2.84
In3 0.3755 0.8697 0.3755  6 Se 2.79-2.84
In4 0.8697 0.3755 0.3755  6 Se 2.79-2.84
Hg1 0.7452 0.7452 0.7452  4 Se 2.73-2.75
Bi1 0.3765 0.3765 0.3765  6 Se 2.91-2.99
Se1 0.1238 0.1238 0.6008  3 In 2.72-2.83, 1 Bi 2.99
Se2 0.1238 0.6008 0.1238  3 In 2.72-2.83, 1 Bi 2.99
Se3 0.1351 0.1351 0.1351  4 In 2.78-2.84
Se4 0.1492 0.6229 0.6229  1 Hg 2.75, 2 In 2.79, 1 Bi 2.91
Se5 0.6008 0.1238 0.1238  3 In 2.72-2.83, 1 Bi 2.99
Se6 0.6126 0.6126 0.6126  1 Hg 2.73, 3 In 2.80
Se7 0.6229 0.1492 0.6229  1 Hg 2.75, 2 In 2.79, 1 Bi 2.91
Se8 0.6229 0.6229 0.1492  1 Hg 2.75, 2 In 2.79, 1 Bi 2.91

Total energy   -3.50 eV/atom
Calculated density   6.07 g/cm³
Raw formation energy   -0.425 eV/atom



Entry 5:
Entry from the Alexandria database: a relaxed Na2In5AgPd2 crystal (GGA-PBE).

a b c (Å): 10.8462 10.8462 3.8692
angles (deg): 90.00 90.00 90.00
Last column: nearest neighbours and their distance in Å.
Fractional coordinates of all 20 atoms:
Na1 0.1754 0.3246 0.0000  3 Pd 3.07-3.30, 6 In 3.31-3.42
Na2 0.3246 0.8246 0.0000  3 Pd 3.07-3.30, 6 In 3.31-3.42
Na3 0.6754 0.1754 0.0000  3 Pd 3.07-3.30, 6 In 3.31-3.42
Na4 0.8246 0.6754 0.0000  3 Pd 3.07-3.30, 6 In 3.31-3.42
In1 0.0000 0.5000 0.5000  4 Pd 2.72
In2 0.0661 0.8012 0.5000  2 Pd 2.80, 2 Ag 2.98
In3 0.1988 0.0661 0.5000  2 Pd 2.80, 2 Ag 2.98
In4 0.3012 0.5661 0.5000  2 Pd 2.80, 2 Ag 2.98
In5 0.4339 0.3012 0.5000  2 Pd 2.80, 2 Ag 2.98
In6 0.5000 0.0000 0.5000  4 Pd 2.72
In7 0.5661 0.6988 0.5000  2 Pd 2.80, 2 Ag 2.98
In8 0.6988 0.4339 0.5000  2 Pd 2.80, 2 Ag 2.98
In9 0.8012 0.9339 0.5000  2 Pd 2.80, 2 Ag 2.98
In10 0.9339 0.1988 0.5000  2 Pd 2.80, 2 Ag 2.98
Ag1 0.0000 0.0000 0.0000  8 In 2.98
Ag2 0.5000 0.5000 0.0000  8 In 2.98
Pd1 0.1244 0.6244 0.0000  6 In 2.72-2.80
Pd2 0.3756 0.1244 0.0000  6 In 2.72-2.80
Pd3 0.6244 0.8756 0.0000  6 In 2.72-2.80
Pd4 0.8756 0.3756 0.0000  6 In 2.72-2.80

Total energy   -3.19 eV/atom
Calculated density   6.86 g/cm³



Among the records above, which one has the highest calculated density?
Ge2PdPtC



Among the records above, which one has the lowest calculated density?
In4HgBiSe8



Which of these has the lowest total energy?
HoErMnRh